(1)
Density functional theory data (PBE-GGA) for a relaxed LaRe3Sb crystal.

- Space group: No. 221
- Polymorph energy (0 for the lowest one): 0.00 eV/f.u.
- Raw formation energy: 8.65 eV/f.u.

abc: 4.9217 4.9217 4.9217
angles: 90.00 90.00 90.00
Element x y z (fractional)
La 0.0000 0.0000 0.0000
Re 0.0000 0.5000 0.5000
Re 0.5000 0.0000 0.5000
Re 0.5000 0.5000 0.0000
Sb 0.5000 0.5000 0.5000

(2)
Density functional theory data (PBE-GGA) for a relaxed La3ReSb crystal.

- Space group: No. 221
- Polymorph energy (0 for the lowest one): 0.00 eV/f.u.
- Raw formation energy: -1.14 eV/f.u.

abc: 5.4889 5.4889 5.4889
angles: 90.00 90.00 90.00
Element x y z (fractional)
La 0.0000 0.0000 0.5000
La 0.0000 0.5000 0.0000
La 0.5000 0.0000 0.0000
Re 0.0000 0.0000 0.0000
Sb 0.5000 0.5000 0.5000

(3)
Density functional theory data (PBE-GGA) for a relaxed LaReSb3 crystal.

- Space group: No. 221
- Polymorph energy (0 for the lowest one): 0.00 eV/f.u.
- Raw formation energy: 1.08 eV/f.u.

abc: 5.2528 5.2528 5.2528
angles: 90.00 90.00 90.00
Element x y z (fractional)
La 0.0000 0.0000 0.0000
Re 0.5000 0.5000 0.5000
Sb 0.0000 0.5000 0.5000
Sb 0.5000 0.0000 0.5000
Sb 0.5000 0.5000 0.0000

(4)
Density functional theory data (PBE-GGA) for a relaxed La2ReSb crystal.

- Space group: No. 119
- Raw formation energy: 0.25 eV/f.u.

abc: 5.9350 5.9350 5.9350
angles: 134.83 134.83 65.80
Element x y z (fractional)
La 0.0000 0.0000 0.0000
La 0.7500 0.2500 0.5000
Re 0.2500 0.7500 0.5000
Sb 0.5000 0.5000 0.0000

(5)
Density functional theory data (PBE-GGA) for a relaxed La2ReSb crystal.

- Space group: No. 47
- Raw formation energy: -0.37 eV/f.u.

abc: 3.8739 3.9824 6.8921
angles: 90.00 90.00 90.00
Element x y z (fractional)
La 0.0000 0.0000 0.2336
La 0.0000 0.0000 0.7664
Re 0.5000 0.5000 0.0000
Sb 0.5000 0.5000 0.5000

(6)
Density functional theory data (PBE-GGA) for a relaxed LaReSbTe2 crystal.

- Space group: No. 123
- Raw formation energy: 0.26 eV/f.u.

abc: 5.4964 5.4964 5.0107
angles: 90.00 90.00 90.00
Element x y z (fractional)
La 0.0000 0.0000 0.0000
Re 0.5000 0.5000 0.5000
Sb 0.5000 0.5000 0.0000
Te 0.0000 0.5000 0.5000
Te 0.5000 0.0000 0.5000

(7)
Density functional theory data (PBE-GGA) for a relaxed La2VReSb crystal.

- Space group: No. 123
- Raw formation energy: 4.56 eV/f.u.

abc: 5.2496 5.2496 4.9880
angles: 90.00 90.00 90.00
Element x y z (fractional)
La 0.0000 0.5000 0.0000
La 0.5000 0.0000 0.0000
V 0.0000 0.0000 0.0000
Re 0.5000 0.5000 0.5000
Sb 0.0000 0.0000 0.5000

(8)
Density functional theory data (PBE-GGA) for a relaxed La2ScRe crystal.

- Space group: No. 71
- Polymorph energy (0 for the lowest one): 0.41 eV/f.u.
- DFT formation energy: 0.268 eV per atom

abc: 6.5923 6.5923 6.5923
angles: 148.80 134.83 55.91
Element x y z (fractional)
La 0.1951 0.1951 0.0000
La 0.8049 0.8049 0.0000
Sc 0.5000 0.0000 0.5000
Re 0.0000 0.5000 0.5000

Number 1: total DFT energy (no corrections) -0.555 Ry per atom, total magnetic moment 0.0 μB per formula unit. Number 2: total DFT energy (no corrections) -0.478 Ry per atom, total magnetic moment 0.0 μB per formula unit. Number 3: total DFT energy (no corrections) -0.421 Ry per atom, total magnetic moment 0.0 μB per formula unit. Number 4: total DFT energy (no corrections) -0.481 Ry per atom, total magnetic moment 1.8 μB per formula unit. Number 5: total DFT energy (no corrections) -0.492 Ry per atom, total magnetic moment 0.0 μB per formula unit. Number 6: total DFT energy (no corrections) -0.405 Ry per atom, total magnetic moment 1.2 μB per formula unit. Number 7: total DFT energy (no corrections) -0.456 Ry per atom, total magnetic moment 3.4 μB per formula unit. Number 8: total DFT energy (no corrections) -0.506 Ry per atom, total magnetic moment 0.0 μB per formula unit.